[1]
A plane-wave DFT calculation with PBE was carried out for an optimized crystal structure of Ho6Tm4Tl.

Cell: 10.7328 10.7328 3.4308 Å, 90.00 90.00 120.00°
Atoms (fractional coordinates):
Ho 0.0087 0.5044 0.0000
Ho 0.1613 0.3227 0.5000
Ho 0.1613 0.8387 0.5000
Ho 0.4956 0.5044 0.0000
Ho 0.4956 0.9913 0.0000
Ho 0.6773 0.8387 0.5000
Tm 0.3333 0.6667 0.0000
Tm 0.4133 0.2066 0.5000
Tm 0.7934 0.2066 0.5000
Tm 0.7934 0.5867 0.5000
Tl 0.0000 0.0000 0.0000

Summary:
Size of the total moment, μB per cell: 0.000
VASP energy, eV/atom: -4.184
ΔE_f, eV per atom: 0.15

=====

[2]
A plane-wave DFT calculation with PBE was carried out for an optimized crystal structure of LaZn4Ni.

Cell: 5.3312 5.3312 4.2606 Å, 90.00 90.00 120.00°
Atoms (fractional coordinates):
La 0.0000 0.0000 0.0000
Zn 0.0084 0.5042 0.5000
Zn 0.4958 0.5042 0.5000
Zn 0.4958 0.9916 0.5000
Zn 0.6667 0.3333 0.0000
Ni 0.3333 0.6667 0.0000

Summary:
Size of the total moment, μB per cell: 0.000
VASP energy, eV/atom: -2.970
Energy above the lowest structure with this stoichiometry, meV/atom: 0
ΔE_f, eV per atom: -0.34

=====

[3]
A plane-wave DFT calculation with PBE was carried out for an optimized crystal structure of TlIn2Cu.

Cell: 4.3884 4.5449 5.4654 Å, 90.00 110.85 90.00°
Atoms (fractional coordinates):
Tl 0.0000 0.0000 0.0000
In 0.3381 0.5000 0.7063
In 0.6619 0.5000 0.2937
Cu 0.5000 0.0000 0.5000

Summary:
Size of the total moment, μB per cell: 0.000
VASP energy, eV/atom: -2.833
ΔE_f, eV per atom: 0.15

=====

[4]
A plane-wave DFT calculation with PBE was carried out for an optimized crystal structure of TlZn3Au.

Cell: 4.9667 4.9667 4.9667 Å, 90.00 90.00 90.00°
Atoms (fractional coordinates):
Tl 0.0000 0.0000 0.0000
Zn 0.0000 0.5000 0.5000
Zn 0.5000 0.0000 0.5000
Zn 0.5000 0.5000 0.0000
Au 0.5000 0.5000 0.5000

Summary:
Size of the total moment, μB per cell: 0.000
VASP energy, eV/atom: -1.818
Energy above the lowest structure with this stoichiometry, meV/atom: 0
ΔE_f, eV per atom: 0.08

=====

[5]
A plane-wave DFT calculation with PBE was carried out for an optimized crystal structure of CrRuC3.

Cell: 3.7512 3.7512 3.7512 Å, 90.00 90.00 90.00°
Atoms (fractional coordinates):
Cr 0.0000 0.0000 0.0000
Ru 0.5000 0.5000 0.5000
C 0.0000 0.0000 0.5000
C 0.0000 0.5000 0.0000
C 0.5000 0.0000 0.0000

Summary:
Size of the total moment, μB per cell: 0.000
VASP energy, eV/atom: -7.249
Energy above the lowest structure with this stoichiometry, meV/atom: 0
ΔE_f, eV per atom: 2.07

=====

[6]
A plane-wave DFT calculation with PBE was carried out for an optimized crystal structure of La2GaSb4.

Cell: 4.4515 4.4515 10.4516 Å, 90.00 90.00 90.00°
Atoms (fractional coordinates):
La 0.0000 0.5000 0.2421
La 0.5000 0.0000 0.7579
Ga 0.0000 0.0000 0.5000
Sb 0.0000 0.0000 0.0000
Sb 0.0000 0.5000 0.6559
Sb 0.5000 0.0000 0.3441
Sb 0.5000 0.5000 0.0000

Summary:
Size of the total moment, μB per cell: 0.000
VASP energy, eV/atom: -4.965

=====

[7]
A plane-wave DFT calculation with PBE was carried out for an optimized crystal structure of CrHg2.

Cell: 3.6069 3.6069 9.5252 Å, 90.00 90.00 90.00°
Atoms (fractional coordinates):
Cr 0.0000 0.0000 0.0000
Cr 0.5000 0.5000 0.5000
Hg 0.0000 0.0000 0.3392
Hg 0.0000 0.0000 0.6608
Hg 0.5000 0.5000 0.1608
Hg 0.5000 0.5000 0.8392

Summary:
Size of the total moment, μB per cell: 8.746
VASP energy, eV/atom: -3.012
ΔE_f, eV per atom: 0.40

=====

[8]
A plane-wave DFT calculation with PBE was carried out for an optimized crystal structure of NaAcMgPb2.

Cell: 4.7894 4.7894 13.5947 Å, 90.00 90.00 90.00°
Atoms (fractional coordinates):
Na 0.0000 0.0000 0.0000
Na 0.5000 0.5000 0.5000
Ac 0.0000 0.5000 0.2500
Ac 0.5000 0.0000 0.7500
Mg 0.0000 0.0000 0.5000
Mg 0.5000 0.5000 0.0000
Pb 0.0000 0.5000 0.6384
Pb 0.0000 0.5000 0.8616
Pb 0.5000 0.0000 0.1384
Pb 0.5000 0.0000 0.3616

Summary:
Size of the total moment, μB per cell: 0.000
VASP energy, eV/atom: -3.151
ΔE_f, eV per atom: -0.26